A relaxed YEr2Ga3AgPt2 crystal. Source: the Open Quantum Materials Database, functional GGA-PBE.

Summary:
- E: -47.68 eV/cell

a = 3.696 Å, b = 7.506 Å, c = 7.506 Å
α = 120.07°, β = 90.00°, γ = 90.00°
Fractional positions:
Ag 0.000 0.002 0.002
Er 0.000 0.000 0.408
Er 0.000 0.408 0.000
Ga 0.500 0.729 0.001
Ga 0.500 0.271 0.271
Ga 0.500 0.001 0.729
Pt 0.500 0.668 0.330
Pt 0.500 0.330 0.668
Y 0.000 0.593 0.593

A relaxed SrHfPO crystal. Source: the Open Quantum Materials Database, functional GGA-PBE.

Summary:
- E: -58.37 eV/cell

a = 4.277 Å, b = 4.688 Å, c = 7.587 Å
α = 90.00°, β = 90.00°, γ = 90.00°
Fractional positions:
Hf 0.000 0.725 0.442
Hf 0.000 0.275 0.942
O 0.500 0.724 0.436
O 0.500 0.276 0.936
P 0.000 0.224 0.282
P 0.000 0.776 0.782
Sr 0.500 0.777 0.094
Sr 0.500 0.223 0.594

A relaxed ZrCdSn2 crystal. Source: the Open Quantum Materials Database, functional GGA-PBE.

Summary:
- E: -16.80 eV/cell

a = 5.171 Å, b = 5.171 Å, c = 5.171 Å
α = 60.00°, β = 60.00°, γ = 60.00°
Fractional positions:
Cd 0.750 0.750 0.750
Sn 0.000 0.000 0.000
Sn 0.250 0.250 0.250
Zr 0.500 0.500 0.500

A relaxed NaTmPdSe3 crystal. Source: the Open Quantum Materials Database, functional GGA-PBE.

Summary:
- E: -111.73 eV/cell

a = 10.009 Å, b = 4.006 Å, c = 14.384 Å
α = 90.00°, β = 90.00°, γ = 90.00°
Fractional positions:
Na 0.227 0.750 0.014
Na 0.727 0.750 0.486
Na 0.273 0.250 0.514
Na 0.773 0.250 0.986
Pd 0.236 0.250 0.242
Pd 0.736 0.250 0.258
Pd 0.264 0.750 0.742
Pd 0.764 0.750 0.758
Se 0.408 0.250 0.116
Se 0.055 0.250 0.122
Se 0.735 0.750 0.149
Se 0.235 0.750 0.351
Se 0.555 0.250 0.378
Se 0.908 0.250 0.384
Se 0.092 0.750 0.616
Se 0.445 0.750 0.622
Se 0.765 0.250 0.649
Se 0.265 0.250 0.851
Se 0.945 0.750 0.878
Se 0.592 0.750 0.884
Tm 0.484 0.750 0.246
Tm 0.984 0.750 0.254
Tm 0.016 0.250 0.746
Tm 0.516 0.250 0.754

A relaxed TbUFe crystal. Source: the Open Quantum Materials Database, functional GGA-PBE.

Summary:
- Energy relative to the elements: 54.2 kJ/mol of atoms

a = 4.527 Å, b = 4.527 Å, c = 4.527 Å
α = 60.00°, β = 60.00°, γ = 60.00°
Fractional positions:
Fe 0.000 0.000 0.000
Tb 0.750 0.750 0.750
U 0.250 0.250 0.250

A relaxed BaHo4Si5O17 crystal. Source: the Open Quantum Materials Database, functional GGA-PBE.

Summary:
- E: -436.06 eV/cell

a = 5.509 Å, b = 19.671 Å, c = 6.852 Å
α = 90.00°, β = 106.58°, γ = 90.00°
Fractional positions:
Ba 0.740 0.250 0.316
Ba 0.260 0.750 0.684
Ho 0.852 0.659 0.019
Ho 0.852 0.841 0.019
Ho 0.199 0.539 0.382
Ho 0.199 0.961 0.382
Ho 0.801 0.039 0.618
Ho 0.801 0.461 0.618
Ho 0.148 0.159 0.981
Ho 0.148 0.341 0.981
O 0.500 0.000 0.000
O 0.500 0.500 0.000
O 0.127 0.573 0.059
O 0.127 0.927 0.059
O 0.138 0.750 0.079
O 0.634 0.750 0.085
O 0.544 0.129 0.117
O 0.544 0.371 0.117
O 0.136 0.174 0.294
O 0.136 0.326 0.294
O 0.878 0.034 0.316
O 0.878 0.466 0.316
O 0.923 0.630 0.352
O 0.923 0.870 0.352
O 0.477 0.683 0.370
O 0.477 0.817 0.370
O 0.396 0.063 0.479
O 0.396 0.437 0.479
O 0.604 0.563 0.521
O 0.604 0.937 0.521
O 0.523 0.183 0.630
O 0.523 0.317 0.630
O 0.077 0.130 0.648
O 0.077 0.370 0.648
O 0.122 0.534 0.684
O 0.122 0.966 0.684
O 0.864 0.674 0.706
O 0.864 0.826 0.706
O 0.456 0.629 0.883
O 0.456 0.871 0.883
O 0.366 0.250 0.915
O 0.862 0.250 0.921
O 0.873 0.073 0.941
O 0.873 0.427 0.941
Si 0.699 0.061 0.097
Si 0.699 0.439 0.097
Si 0.433 0.750 0.218
Si 0.730 0.636 0.495
Si 0.730 0.864 0.495
Si 0.270 0.136 0.505
Si 0.270 0.364 0.505
Si 0.567 0.250 0.782
Si 0.301 0.561 0.903
Si 0.301 0.939 0.903

A relaxed AuCl2O6 crystal. Source: the Open Quantum Materials Database, functional GGA-PBE.

Summary:
- E: -34.67 eV/cell

a = 3.798 Å, b = 6.567 Å, c = 6.714 Å
α = 60.94°, β = 84.03°, γ = 89.21°
Fractional positions:
Au 0.000 0.000 0.000
Cl 0.605 0.799 0.324
Cl 0.395 0.201 0.676
O 0.131 0.257 0.064
O 0.907 0.247 0.264
O 0.015 0.397 0.309
O 0.985 0.603 0.691
O 0.093 0.753 0.736
O 0.869 0.743 0.936

A relaxed AlAgSO crystal. Source: the Open Quantum Materials Database, functional GGA-PBE.

Summary:
- E: -78.55 eV/cell

a = 6.446 Å, b = 7.311 Å, c = 5.922 Å
α = 90.00°, β = 90.00°, γ = 90.00°
Fractional positions:
Ag 0.172 0.107 0.461
Ag 0.672 0.893 0.461
Ag 0.328 0.107 0.961
Ag 0.828 0.893 0.961
Al 0.922 0.352 0.030
Al 0.422 0.648 0.030
Al 0.578 0.352 0.530
Al 0.078 0.648 0.530
O 0.010 0.145 0.117
O 0.510 0.855 0.117
O 0.490 0.145 0.617
O 0.990 0.855 0.617
S 0.580 0.381 0.142
S 0.080 0.620 0.142
S 0.920 0.381 0.642
S 0.420 0.620 0.642

A relaxed NdErH2O4 crystal. Source: the Open Quantum Materials Database, functional GGA-PBE.

Summary:
- E: -56.67 eV/cell

a = 4.336 Å, b = 3.657 Å, c = 6.048 Å
α = 90.00°, β = 109.17°, γ = 90.00°
Fractional positions:
Er 0.839 0.000 0.200
H 0.501 0.500 0.392
H 0.478 0.000 0.556
Nd 0.168 0.500 0.815
O 0.278 0.000 0.073
O 0.737 0.500 0.435
O 0.254 0.000 0.557
O 0.745 0.500 0.971

A relaxed LuIr2Pb crystal. Source: the Open Quantum Materials Database, functional GGA-PBE.

Summary:
- E: -25.64 eV/cell

a = 4.767 Å, b = 4.767 Å, c = 4.767 Å
α = 60.00°, β = 60.00°, γ = 60.00°
Fractional positions:
Ir 0.000 0.000 0.000
Ir 0.750 0.750 0.750
Lu 0.250 0.250 0.250
Pb 0.500 0.500 0.500

A relaxed NaYAlAu crystal. Source: the Open Quantum Materials Database, functional GGA-PBE.

Summary:
- E: -15.93 eV/cell

a = 5.012 Å, b = 5.012 Å, c = 5.012 Å
α = 60.00°, β = 60.00°, γ = 60.00°
Fractional positions:
Al 0.250 0.250 0.250
Au 0.750 0.750 0.750
Na 0.500 0.500 0.500
Y 0.000 0.000 0.000

A relaxed ZnCl2 crystal. Source: the Open Quantum Materials Database, functional GGA-PBE.

Summary:
- E: -15.42 eV/cell

a = 6.812 Å, b = 6.812 Å, c = 6.462 Å
α = 103.02°, β = 103.02°, γ = 33.57°
Fractional positions:
Cl 0.017 0.730 0.189
Cl 0.270 0.983 0.311
Cl 0.730 0.017 0.689
Cl 0.983 0.270 0.811
Zn 0.000 0.000 0.000
Zn 0.000 0.000 0.500